Here is a geometry-optimized LiNbCoO4 structure from Alexandria via LeMat-Bulk. Energies are from PBE+U.

The calculation puts the energy above the lowest structure with this stoichiometry at 0.00 eV/f.u.

The structure belongs to space group P4_322 (No. 95); the cell edges are 6.173, 6.173 and 8.492 Å and the angles 90.00°, 90.00° and 90.00°. The asymmetric unit holds Li at (0.000, 0.220, 0.000), Nb at (0.214, 0.500, 0.250), Co at (0.259, 0.259, 0.625), O at (0.017, 0.264, 0.254) and O at (0.266, 0.483, 0.016).